Record 1
LaPr4NdTm2: optimized geometry, PBE.

Cell and atoms, written as CIF:
```
data_LaPr4NdTm2
_chemical_formula_sum 'La2 Pr8 Nd2 Tm4'
_space_group_name_H-M_alt 'C 1 2/m 1'
_space_group_IT_number 12
_cell_length_a 11.5574
_cell_length_b 5.1838
_cell_length_c 10.3756
_cell_angle_alpha 90.00
_cell_angle_beta 116.84
_cell_angle_gamma 90.00
loop_
_space_group_symop_operation_xyz
'x,y,z'
'-x,-y,-z'
'-x,y,-z'
'x,-y,z'
'x+1/2,y+1/2,z'
'-x+1/2,-y+1/2,-z'
'-x+1/2,y+1/2,-z'
'x+1/2,-y+1/2,z'
loop_
_atom_site_label
_atom_site_fract_x
_atom_site_fract_y
_atom_site_fract_z
La1 0.0000 0.0000 0.0000
Pr1 0.2491 0.0000 0.8742
Pr2 0.2495 0.5000 0.6249
Nd1 0.0000 0.0000 0.5000
Tm1 0.0003 0.5000 0.2516
```

## Properties
Density of states at the Fermi level (states/eV/cell): 24.74
Uncorrected energy (eV per atom): -4.700
Total magnetization (μB per formula unit): 0.00
Energy of formation (eV per atom): 0.0200

***

Record 2
La2Pr6NdTm3: optimized geometry, PBE.

Cell and atoms, written as CIF:
```
data_La2Pr6NdTm3
_chemical_formula_sum 'La4 Pr12 Nd2 Tm6'
_space_group_name_H-M_alt 'C 1 2/m 1'
_space_group_IT_number 12
_cell_length_a 6.3581
_cell_length_b 11.0221
_cell_length_c 12.0558
_cell_angle_alpha 90.00
_cell_angle_beta 100.12
_cell_angle_gamma 90.00
loop_
_space_group_symop_operation_xyz
'x,y,z'
'-x,-y,-z'
'-x,y,-z'
'x,-y,z'
'x+1/2,y+1/2,z'
'-x+1/2,-y+1/2,-z'
'-x+1/2,y+1/2,-z'
'x+1/2,-y+1/2,z'
loop_
_atom_site_label
_atom_site_fract_x
_atom_site_fract_y
_atom_site_fract_z
La1 0.0000 0.1666 0.0000
Pr1 0.2474 0.1665 0.7429
Pr2 0.2471 0.5000 0.7430
Nd1 0.0000 0.5000 0.0000
Tm1 0.0000 0.0000 0.5000
Tm2 0.0000 0.3335 0.5000
```

## Properties
Density of states at the Fermi level (states/eV/cell): 32.81
Uncorrected energy (eV per atom): -4.705
Total magnetization (μB per formula unit): 0.00
Energy of formation (eV per atom): 0.0209

***

Record 3
LaPr2Nd4Tm: optimized geometry, PBE.

Cell and atoms, written as CIF:
```
data_LaPr2Nd4Tm
_chemical_formula_sum 'La1 Pr2 Nd4 Tm1'
_space_group_name_H-M_alt 'P 1 2/m 1'
_space_group_IT_number 10
_cell_length_a 6.3298
_cell_length_b 3.6872
_cell_length_c 12.2290
_cell_angle_alpha 90.00
_cell_angle_beta 100.26
_cell_angle_gamma 90.00
loop_
_space_group_symop_operation_xyz
'x,y,z'
'-x,-y,-z'
'-x,y,-z'
'x,-y,z'
loop_
_atom_site_label
_atom_site_fract_x
_atom_site_fract_y
_atom_site_fract_z
La1 0.0000 0.0000 0.0000
Pr1 0.0000 0.5000 0.5000
Pr2 0.5000 0.0000 0.5000
Nd1 0.2506 0.0000 0.7537
Nd2 0.2518 0.5000 0.2488
Tm1 0.5000 0.5000 0.0000
```

## Properties
Density of states at the Fermi level (states/eV/cell): 12.79
Uncorrected energy (eV per atom): -4.736
Total magnetization (μB per formula unit): 0.00
Energy of formation (eV per atom): 0.0179

***

Record 4
La2Pr2NdTm2: optimized geometry, PBE.

Cell and atoms, written as CIF:
```
data_La2Pr2NdTm2
_chemical_formula_sum 'La4 Pr4 Nd2 Tm4'
_space_group_name_H-M_alt 'C 1 2/m 1'
_space_group_IT_number 12
_cell_length_a 11.5512
_cell_length_b 5.1744
_cell_length_c 8.1862
_cell_angle_alpha 90.00
_cell_angle_beta 98.27
_cell_angle_gamma 90.00
loop_
_space_group_symop_operation_xyz
'x,y,z'
'-x,-y,-z'
'-x,y,-z'
'x,-y,z'
'x+1/2,y+1/2,z'
'-x+1/2,-y+1/2,-z'
'-x+1/2,y+1/2,-z'
'x+1/2,-y+1/2,z'
loop_
_atom_site_label
_atom_site_fract_x
_atom_site_fract_y
_atom_site_fract_z
La1 0.1444 0.0000 0.4296
Pr1 0.0714 0.5000 0.7205
Nd1 0.0000 0.0000 0.0000
Tm1 0.2160 0.5000 0.1382
```

## Properties
Density of states at the Fermi level (states/eV/cell): 23.28
Uncorrected energy (eV per atom): -4.707
Total magnetization (μB per formula unit): 0.00
Energy of formation (eV per atom): 0.0251